(w)
Here is a relaxed structure of AlSb2TePt from the Alexandria database. Energies are from PBE-GGA.

Values from the calculation:
**Mass density**: 7.26 Mg/m³
**Total magnetization**: 0.0 Bohr magnetons per cell

a b c (Å): 5.138 5.138 5.140
angles (deg): 90.00 90.00 90.00
Fractional coordinates of all 5 atoms:
Al  0.000  0.000  0.000
Sb  0.000  0.500  0.000
Sb  0.500  0.000  0.000
Te  0.000  0.000  0.500
Pt  0.500  0.500  0.500

(x)
Here is a relaxed structure of AlSb2TePt from the Alexandria database. Energies are from PBE-GGA.

Values from the calculation:
**Mass density**: 6.48 Mg/m³
**Total magnetization**: 0.0 Bohr magnetons per cell

a b c (Å): 5.206 5.206 5.610
angles (deg): 90.00 90.00 90.00
Fractional coordinates of all 5 atoms:
Al  0.000  0.000  0.000
Sb  0.000  0.500  0.500
Sb  0.500  0.000  0.500
Te  0.500  0.500  0.000
Pt  0.500  0.500  0.500

(x) is favored, and the nearest alternative lies 33.2 kJ/mol of atoms above it.